VASP calculation (PBE-GGA) on an optimized crystal structure of CsAlPb2Cl8.

Cell lengths 6.824, 7.220, 9.255 Å; angles 58.49, 90.02, 88.60 degrees
Element x y z (fractional)
Cs1 0.000 0.000 0.500
Al1 0.000 0.000 0.000
Pb1 0.534 0.263 0.763
Pb2 0.466 0.737 0.237
Cl1 0.050 0.674 0.266
Cl2 0.764 0.836 0.923
Cl3 0.754 0.114 0.115
Cl4 0.950 0.326 0.734
Cl5 0.236 0.164 0.077
Cl6 0.246 0.886 0.885
Cl7 0.477 0.724 0.541
Cl8 0.523 0.276 0.459

Calculated values
- Energy relative to the elements, uncorrected: -17.25 eV per formula unit
- Volume: 388.6 Å³ per cell
- Raw total energy: -44.032 eV for the cell shown